1.
This record from the Alexandria database describes a geometry-optimized Cs4Th3MgSe8 structure. The functional is PBE.

abc: 9.784 9.784 9.784
angles: 52.20 52.20 52.20
Atoms (fractional coordinates):
Cs 0.000 0.000 0.000
Cs 0.000 0.500 0.500
Cs 0.500 0.000 0.500
Cs 0.500 0.500 0.000
Th 0.000 0.000 0.500
Th 0.000 0.500 0.000
Th 0.500 0.000 0.000
Mg 0.500 0.500 0.500
Se 0.232 0.232 0.232
Se 0.236 0.725 0.725
Se 0.275 0.275 0.764
Se 0.275 0.764 0.275
Se 0.725 0.236 0.725
Se 0.725 0.725 0.236
Se 0.764 0.275 0.275
Se 0.768 0.768 0.768

Summary:
crystal system	trigonal
uncorrected formation energy	-142.3	kJ/mol of atoms
symmetry	R-3m, No. 166
magnetic moment	0.00	Bohr magnetons per cell
uncorrected energy	-4.9214	eV/atom



2.
This record from the Alexandria database describes a geometry-optimized CsThMgSe4 structure. The functional is PBE.

abc: 7.495 6.038 10.445
angles: 90.00 107.12 90.00
Atoms (fractional coordinates):
Cs 0.247 0.250 0.458
Cs 0.753 0.750 0.542
Th 0.241 0.250 0.943
Th 0.759 0.750 0.057
Mg 0.241 0.750 0.173
Mg 0.759 0.250 0.827
Se 0.029 0.750 0.317
Se 0.066 0.750 0.923
Se 0.484 0.515 0.811
Se 0.484 0.985 0.811
Se 0.516 0.015 0.189
Se 0.516 0.485 0.189
Se 0.934 0.250 0.077
Se 0.971 0.250 0.683

Summary:
crystal system	monoclinic
uncorrected formation energy	-130.2	kJ/mol of atoms
symmetry	P2_1/m, No. 11
magnetic moment	0.00	Bohr magnetons per cell
uncorrected energy	-4.7504	eV/atom



3.
This record from the Alexandria database describes a geometry-optimized Cs2MgTiSe4 structure. The functional is PBE.

abc: 15.005 13.422 8.022
angles: 84.84 62.99 32.17
Atoms (fractional coordinates):
Cs 0.053 0.053 0.697
Cs 0.303 0.303 0.947
Cs 0.697 0.697 0.053
Cs 0.947 0.947 0.303
Mg 0.125 0.125 0.125
Mg 0.875 0.875 0.875
Ti 0.375 0.375 0.375
Ti 0.625 0.625 0.625
Se 0.001 0.353 0.438
Se 0.292 0.562 0.647
Se 0.353 0.001 0.708
Se 0.438 0.708 0.001
Se 0.562 0.292 0.999
Se 0.647 0.999 0.292
Se 0.708 0.438 0.353
Se 0.999 0.647 0.562

Summary:
crystal system	orthorhombic
uncorrected formation energy	-124.0	kJ/mol of atoms
symmetry	Fddd, No. 70
magnetic moment	0.00	Bohr magnetons per cell
uncorrected energy	-4.4270	eV/atom



4.
This record from the Alexandria database describes a geometry-optimized CsMgTlSe3 structure. The functional is PBE.

abc: 9.202 4.135 11.476
angles: 90.00 111.44 90.00
Atoms (fractional coordinates):
Cs 0.237 0.250 0.242
Cs 0.763 0.750 0.758
Mg 0.357 0.750 0.914
Mg 0.643 0.250 0.086
Tl 0.158 0.250 0.649
Tl 0.842 0.750 0.351
Se 0.125 0.250 0.866
Se 0.199 0.750 0.514
Se 0.496 0.750 0.157
Se 0.504 0.250 0.843
Se 0.801 0.250 0.486
Se 0.875 0.750 0.134

Summary:
crystal system	monoclinic
uncorrected formation energy	-75.9	kJ/mol of atoms
symmetry	P2_1/m, No. 11
magnetic moment	0.00	Bohr magnetons per cell
uncorrected energy	-3.3312	eV/atom



5.
This record from the Alexandria database describes a geometry-optimized CsMgUSe3 structure. The functional is PBE.

abc: 4.315 11.352 8.428
angles: 90.00 104.83 90.00
Atoms (fractional coordinates):
Cs 0.243 0.250 0.485
Cs 0.757 0.750 0.515
Mg 0.034 0.750 0.069
Mg 0.966 0.250 0.931
U 0.500 0.000 0.000
U 0.500 0.500 0.000
Se 0.116 0.557 0.233
Se 0.116 0.943 0.233
Se 0.443 0.750 0.886
Se 0.557 0.250 0.114
Se 0.884 0.057 0.767
Se 0.884 0.443 0.767

Summary:
crystal system	monoclinic
uncorrected formation energy	-115.5	kJ/mol of atoms
symmetry	P2_1/m, No. 11
magnetic moment	6.00	Bohr magnetons per cell
uncorrected energy	-5.2289	eV/atom



6.
This record from the Alexandria database describes a geometry-optimized CsMgUSe3 structure. The functional is PBE.

abc: 9.779 4.298 10.524
angles: 90.00 110.91 90.00
Atoms (fractional coordinates):
Cs 0.213 0.250 0.238
Cs 0.787 0.750 0.762
Mg 0.086 0.250 0.613
Mg 0.914 0.750 0.387
U 0.337 0.750 0.866
U 0.663 0.250 0.134
Se 0.127 0.250 0.865
Se 0.194 0.750 0.546
Se 0.474 0.750 0.157
Se 0.526 0.250 0.843
Se 0.806 0.250 0.454
Se 0.873 0.750 0.135

Summary:
crystal system	monoclinic
uncorrected formation energy	-116.0	kJ/mol of atoms
symmetry	P2_1/m, No. 11
magnetic moment	6.00	Bohr magnetons per cell
uncorrected energy	-5.2335	eV/atom



7.
This record from the Alexandria database describes a geometry-optimized CsMgUSe4 structure. The functional is PBE.

abc: 7.028 7.205 9.253
angles: 90.00 96.61 90.00
Atoms (fractional coordinates):
Cs 0.201 0.250 0.059
Cs 0.799 0.750 0.941
Mg 0.358 0.250 0.651
Mg 0.642 0.750 0.349
U 0.172 0.750 0.454
U 0.828 0.250 0.546
Se 0.100 0.504 0.685
Se 0.100 0.996 0.685
Se 0.321 0.750 0.191
Se 0.472 0.250 0.402
Se 0.528 0.750 0.598
Se 0.679 0.250 0.809
Se 0.900 0.004 0.315
Se 0.900 0.496 0.315

Summary:
crystal system	monoclinic
uncorrected formation energy	-108.0	kJ/mol of atoms
symmetry	P2_1/m, No. 11
magnetic moment	2.00	Bohr magnetons per cell
uncorrected energy	-5.0730	eV/atom



8.
This record from the Alexandria database describes a geometry-optimized Cs3Mg2USe6 structure. The functional is PBE.

abc: 7.197 7.197 8.660
angles: 97.92 97.92 120.06
Atoms (fractional coordinates):
Cs 0.000 0.000 0.000
Cs 0.330 0.670 0.000
Cs 0.670 0.330 0.000
Mg 0.166 0.834 0.500
Mg 0.834 0.166 0.500
U 0.500 0.500 0.500
Se 0.111 0.440 0.322
Se 0.232 0.232 0.681
Se 0.440 0.111 0.322
Se 0.560 0.889 0.678
Se 0.768 0.768 0.319
Se 0.889 0.560 0.678

Summary:
crystal system	monoclinic
uncorrected formation energy	-116.4	kJ/mol of atoms
symmetry	C2/m, No. 12
magnetic moment	1.00	Bohr magnetons per cell
uncorrected energy	-4.3685	eV/atom



9.
This record from the Alexandria database describes a geometry-optimized Cs2YMg2Se4 structure. The functional is PBE.

abc: 8.403 8.403 8.549
angles: 106.51 106.51 29.66
Atoms (fractional coordinates):
Cs 0.127 0.127 0.040
Cs 0.873 0.873 0.960
Y 0.000 0.000 0.500
Mg 0.329 0.329 0.523
Mg 0.671 0.671 0.477
Se 0.199 0.199 0.659
Se 0.480 0.480 0.723
Se 0.520 0.520 0.277
Se 0.801 0.801 0.341

Summary:
crystal system	monoclinic
uncorrected formation energy	-126.7	kJ/mol of atoms
symmetry	C2/m, No. 12
magnetic moment	0.71	Bohr magnetons per cell
uncorrected energy	-4.1240	eV/atom



10.
This record from the Alexandria database describes a geometry-optimized Cs3Y2MgSe6 structure. The functional is PBE.

abc: 7.323 7.323 8.716
angles: 98.06 98.06 120.02
Atoms (fractional coordinates):
Cs 0.000 0.000 0.000
Cs 0.333 0.667 0.000
Cs 0.667 0.333 0.000
Y 0.166 0.834 0.500
Y 0.834 0.166 0.500
Mg 0.500 0.500 0.500
Se 0.111 0.439 0.317
Se 0.233 0.233 0.683
Se 0.439 0.111 0.317
Se 0.561 0.889 0.683
Se 0.767 0.767 0.317
Se 0.889 0.561 0.683

Summary:
crystal system	monoclinic
uncorrected formation energy	-138.5	kJ/mol of atoms
symmetry	C2/m, No. 12
magnetic moment	0.00	Bohr magnetons per cell
uncorrected energy	-4.6015	eV/atom



11.
This record from the Alexandria database describes a geometry-optimized CsMgZnSe2 structure. The functional is PBE.

abc: 8.149 8.149 7.032
angles: 90.00 90.00 134.94
Atoms (fractional coordinates):
Cs 0.250 0.750 0.752
Cs 0.750 0.250 0.248
Mg 0.250 0.250 0.000
Mg 0.750 0.750 0.000
Zn 0.000 0.000 0.500
Zn 0.500 0.500 0.500
Se 0.102 0.898 0.200
Se 0.398 0.602 0.200
Se 0.602 0.398 0.800
Se 0.898 0.102 0.800

Summary:
crystal system	orthorhombic
uncorrected formation energy	-76.5	kJ/mol of atoms
symmetry	Cmme, No. 67
magnetic moment	0.00	Bohr magnetons per cell
uncorrected energy	-2.9309	eV/atom